DFT (GGA-PBE) results for crystalline Ac6PrTl2 at its relaxed geometry.

Cell: 7.338 7.338 13.096 Å, 107.08 107.08 32.27°
Atoms (fractional coordinates):
Ac 0.026 0.026 0.336
Ac 0.309 0.309 0.406
Ac 0.321 0.321 0.123
Ac 0.679 0.679 0.877
Ac 0.691 0.691 0.594
Ac 0.974 0.974 0.664
Pr 0.000 0.000 0.000
Tl 0.359 0.359 0.813
Tl 0.641 0.641 0.187

E: -3.937 eV per atom
energy above the lowest structure with this stoichiometry: 0.0000 eV per atom
calculated formation energy: -0.14 eV/atom

DFT (GGA-PBE) results for crystalline Ac2Pr3Tl4 at its relaxed geometry.

Cell: 8.803 8.862 8.346 Å, 90.00 107.38 90.00°
Atoms (fractional coordinates):
Ac 0.186 0.183 0.064
Ac 0.186 0.317 0.564
Ac 0.814 0.683 0.436
Ac 0.814 0.817 0.936
Pr 0.241 0.666 0.251
Pr 0.241 0.834 0.751
Pr 0.500 0.000 0.500
Pr 0.500 0.500 0.000
Pr 0.759 0.166 0.249
Pr 0.759 0.334 0.749
Tl 0.084 0.539 0.856
Tl 0.084 0.961 0.356
Tl 0.496 0.130 0.870
Tl 0.496 0.370 0.370
Tl 0.504 0.630 0.630
Tl 0.504 0.870 0.130
Tl 0.916 0.039 0.644
Tl 0.916 0.461 0.144

E: -3.920 eV per atom
energy above the lowest structure with this stoichiometry: 0.0000 eV per atom
calculated formation energy: -0.36 eV/atom

DFT (GGA-PBE) results for crystalline AcPr2Tl at its relaxed geometry.

Cell: 3.821 3.821 9.575 Å, 90.00 90.00 90.00°
Atoms (fractional coordinates):
Ac 0.000 0.000 0.000
Pr 0.500 0.500 0.280
Pr 0.500 0.500 0.720
Tl 0.000 0.000 0.500

E: -4.189 eV per atom
energy above the lowest structure with this stoichiometry: 0.0000 eV per atom
calculated formation energy: -0.18 eV/atom

DFT (GGA-PBE) results for crystalline AcPr2Tl at its relaxed geometry.

Cell: 11.450 11.450 11.450 Å, 19.61 19.61 19.61°
Atoms (fractional coordinates):
Ac 0.000 0.000 0.000
Pr 0.574 0.574 0.574
Pr 0.760 0.760 0.760
Tl 0.167 0.167 0.167

E: -4.102 eV per atom
energy above the lowest structure with this stoichiometry: 0.0878 eV per atom
calculated formation energy: -0.09 eV/atom